Entry 1:
DFT (GGA-PBE) results for a relaxed CeBi3Pb3 crystal. Values from VASP.

Geometry as Quantum ESPRESSO input:
```
&SYSTEM
  ibrav = 0, nat = 14, ntyp = 3
/
ATOMIC_SPECIES
Ce 140.12 Ce.upf
Bi 208.98 Bi.upf
Pb 207.20 Pb.upf
ATOMIC_POSITIONS angstrom
Ce -0.512 -2.255 -0.601
Ce 1.870 -10.701 6.446
Bi 2.717 -2.327 6.398
Bi 1.300 -8.385 -0.843
Bi -2.882 -7.951 1.090
Bi 0.057 -4.571 6.688
Bi 4.239 -5.005 4.754
Bi -1.359 -10.629 -0.554
Pb 1.215 -4.114 3.552
Pb 2.721 -6.690 1.978
Pb -1.364 -6.266 3.867
Pb 0.704 -5.126 -2.161
Pb -2.946 -4.747 -0.473
Pb 0.142 -8.842 2.293
CELL_PARAMETERS angstrom
-5.304 -4.503 0.617
3.061 -5.371 -3.251
3.600 -3.083 8.478
```

Summary:
Space group: Cmmm
DFT formation energy (eV per atom): -0.144
Density of states at the Fermi level (states/eV/cell): 14.69
Crystal system: orthorhombic
Electronic total energy (eV/atom): -4.24

Entry 2:
DFT (GGA-PBE) results for a relaxed Ce2Bi3Pb crystal. Values from VASP.

Geometry as Quantum ESPRESSO input:
```
&SYSTEM
  ibrav = 0, nat = 6, ntyp = 3
/
ATOMIC_SPECIES
Ce 140.12 Ce.upf
Bi 208.98 Bi.upf
Pb 207.20 Pb.upf
ATOMIC_POSITIONS angstrom
Ce -3.378 3.631 4.518
Ce -1.151 -0.531 3.259
Bi -2.745 1.922 1.822
Bi -1.784 1.177 5.955
Bi 0.000 0.000 0.000
Pb -2.787 -1.601 0.360
CELL_PARAMETERS angstrom
-4.302 0.638 -1.415
-1.272 -3.840 2.135
-1.742 4.700 7.417
```

Summary:
Space group: P-4m2
DFT formation energy (eV per atom): -0.532
Density of states at the Fermi level (states/eV/cell): 7.50
E above lowest polymorph (meV/atom): 0
Crystal system: tetragonal
Electronic total energy (eV/atom): -5.07

Entry 3:
DFT (GGA-PBE) results for a relaxed Ce2Bi3Pb3 crystal. Values from VASP.

Geometry as Quantum ESPRESSO input:
```
&SYSTEM
  ibrav = 0, nat = 8, ntyp = 3
/
ATOMIC_SPECIES
Ce 140.12 Ce.upf
Bi 208.98 Bi.upf
Pb 207.20 Pb.upf
ATOMIC_POSITIONS angstrom
Ce 0.000 0.000 7.105
Ce 0.000 0.000 2.437
Bi 2.524 0.000 4.771
Bi 0.000 2.487 0.000
Bi 0.000 2.487 4.771
Pb 2.524 2.487 7.168
Pb 2.524 2.487 2.373
Pb 2.524 0.000 0.000
CELL_PARAMETERS angstrom
5.047 0.000 0.000
0.000 4.975 0.000
0.000 0.000 9.542
```

Summary:
Space group: Pmmm
DFT formation energy (eV per atom): -0.413
Density of states at the Fermi level (states/eV/cell): 10.59
Crystal system: orthorhombic
Electronic total energy (eV/atom): -4.74

Entry 4:
DFT (GGA-PBE) results for a relaxed Ce7Bi3Pb crystal. Values from VASP.

Geometry as Quantum ESPRESSO input:
```
&SYSTEM
  ibrav = 0, nat = 11, ntyp = 3
/
ATOMIC_SPECIES
Ce 140.12 Ce.upf
Bi 208.98 Bi.upf
Pb 207.20 Pb.upf
ATOMIC_POSITIONS angstrom
Ce 0.054 0.827 1.059
Ce 0.125 -0.440 4.544
Ce 0.226 1.172 6.608
Ce 0.125 4.515 0.675
Ce -2.916 2.917 3.735
Ce 0.226 6.127 2.739
Ce 0.298 4.860 6.224
Bi -2.916 5.446 1.760
Bi 3.092 -0.073 -0.094
Bi -2.916 0.388 5.710
Pb 0.176 2.844 3.642
CELL_PARAMETERS angstrom
6.184 -0.146 -0.187
-2.916 7.791 -0.071
-2.916 -1.958 7.541
```

Summary:
Space group: Immm
DFT formation energy (eV per atom): -0.390
Density of states at the Fermi level (states/eV/cell): 32.83
Crystal system: orthorhombic
Electronic total energy (eV/atom): -5.56

Entry 5:
DFT (GGA-PBE) results for a relaxed Ce4Bi2Pb crystal. Values from VASP.

Geometry as Quantum ESPRESSO input:
```
&SYSTEM
  ibrav = 0, nat = 14, ntyp = 3
/
ATOMIC_SPECIES
Pb 207.20 Pb.upf
Bi 208.98 Bi.upf
Ce 140.12 Ce.upf
ATOMIC_POSITIONS angstrom
Pb 2.723 2.084 4.177
Pb 0.000 0.000 0.000
Bi -1.232 3.545 2.533
Bi 4.084 1.546 8.460
Bi 3.347 5.866 9.558
Bi 0.038 4.705 6.710
Ce 5.607 0.734 5.480
Ce 3.435 4.142 6.578
Ce -0.348 1.854 5.190
Ce 1.192 3.186 9.367
Ce -1.927 6.224 4.581
Ce 5.077 3.441 10.911
Ce 1.530 5.268 3.655
Ce -2.093 6.473 8.758
CELL_PARAMETERS angstrom
7.773 0.504 3.079
-4.334 6.822 2.196
-0.320 0.504 8.355
```

Summary:
Space group: I-42d
DFT formation energy (eV per atom): -0.584
Density of states at the Fermi level (states/eV/cell): 54.49
Crystal system: tetragonal
Electronic total energy (eV/atom): -5.61

Entry 6:
DFT (GGA-PBE) results for a relaxed Ce7BiPb2 crystal. Values from VASP.

Geometry as Quantum ESPRESSO input:
```
&SYSTEM
  ibrav = 0, nat = 10, ntyp = 3
/
ATOMIC_SPECIES
Ce 140.12 Ce.upf
Bi 208.98 Bi.upf
Pb 207.20 Pb.upf
ATOMIC_POSITIONS angstrom
Ce -7.359 2.568 2.110
Ce -9.743 2.583 3.454
Ce -6.693 0.041 3.774
Ce -2.576 0.016 1.453
Ce -6.247 -0.246 -0.011
Ce -2.199 -0.271 -2.294
Ce -1.740 2.534 -1.059
Bi -10.071 0.062 5.679
Pb -9.225 -0.228 1.668
Pb -4.542 2.551 0.521
CELL_PARAMETERS angstrom
-0.209 5.331 -0.429
-2.165 -3.078 -3.806
-10.447 0.064 5.892
```

Summary:
Space group: P3m1
DFT formation energy (eV per atom): -0.219
Density of states at the Fermi level (states/eV/cell): 32.80
Crystal system: trigonal
Electronic total energy (eV/atom): -5.50

Entry 7:
DFT (GGA-PBE) results for a relaxed CePrBiPb crystal. Values from VASP.

Geometry as Quantum ESPRESSO input:
```
&SYSTEM
  ibrav = 0, nat = 4, ntyp = 4
/
ATOMIC_SPECIES
Pb 207.20 Pb.upf
Pr 140.91 Pr.upf
Bi 208.98 Bi.upf
Ce 140.12 Ce.upf
ATOMIC_POSITIONS angstrom
Pb 0.000 0.000 0.000
Pr 2.805 1.619 1.145
Bi 5.610 3.239 2.290
Ce 8.415 4.858 3.435
CELL_PARAMETERS angstrom
5.610 0.000 0.000
2.805 4.858 0.000
2.805 1.619 4.581
```

Summary:
Space group: F-43m
DFT formation energy (eV per atom): -0.502
Density of states at the Fermi level (states/eV/cell): 9.71
Crystal system: cubic
Electronic total energy (eV/atom): -5.08

Entry 8:
DFT (GGA-PBE) results for a relaxed CePuBiPb crystal. Values from VASP.

Geometry as Quantum ESPRESSO input:
```
&SYSTEM
  ibrav = 0, nat = 4, ntyp = 4
/
ATOMIC_SPECIES
Pb 207.20 Pb.upf
Bi 208.98 Bi.upf
Ce 140.12 Ce.upf
Pu 244.00 Pu.upf
ATOMIC_POSITIONS angstrom
Pb -1.364 2.469 1.869
Bi -4.091 7.408 5.608
Ce -2.727 4.939 3.738
Pu 0.000 0.000 0.000
CELL_PARAMETERS angstrom
-2.848 4.732 -0.162
-3.669 1.153 3.968
1.063 3.991 3.671
```

Summary:
Space group: F-43m
DFT formation energy (eV per atom): -0.308
Density of states at the Fermi level (states/eV/cell): 18.79
Crystal system: cubic
Electronic total energy (eV/atom): -7.27

- What is the DFT formation energy in the seventh record?
  -0.502 eV per atom